Entry 1:
Material: NaSmHg2
Method: DFT, meta-GGA SCAN
State: PBEsol geometry

Space-group type: No. 225
ρ in g cm⁻³: 10.0
Energy of formation from the pure elements in eV per atom: -0.536

Cell lengths 5.1319, 5.1319, 5.1319 Å; angles 60.00, 60.00, 60.00 degrees
Positions (direct):
1 Hg 0.2500 0.2500 0.2500
2 Hg 0.7500 0.7500 0.7500
3 Sm 0.0000 0.0000 0.0000
4 Na 0.5000 0.5000 0.5000


Entry 2:
Material: AsWSe
Method: DFT, meta-GGA SCAN
State: PBEsol geometry

Space-group type: No. 216
ρ in g cm⁻³: 9.7
Raw formation energy in eV/atom: 0.386

Cell lengths 4.3419, 4.3419, 4.3419 Å; angles 60.00, 60.00, 60.00 degrees
Positions (direct):
1 Se 0.5000 0.5000 0.5000
2 W 0.2500 0.2500 0.2500
3 As 0.0000 0.0000 0.0000